# 1
Entry from Alexandria via LeMat-Bulk: crystalline KW2Se at its relaxed geometry (PBE).

Cell: 3.9131 3.9131 5.3001 Å, 90.00 90.00 90.00°
Space group P4/mmm (No. 123)
Symmetry-distinct sites (fractional):
K (0.0000, 0.0000, 0.0000)
W (0.0000, 0.5000, 0.5000)
Se (0.5000, 0.5000, 0.0000)

Calculated volume, Å³ per atom: 20.3
E_form (uncorrected), meV per atom: 1407

=====

# 2
Entry from Alexandria via LeMat-Bulk: crystalline Ca7As3N2 at its relaxed geometry (PBE).

Cell: 4.7883 24.3098 4.6422 Å, 90.00 90.00 90.00°
Space group Cmmm (No. 65)
Symmetry-distinct sites (fractional):
Ca (0.0000, 0.0000, 0.0000)
Ca (0.0000, 0.0988, 0.5000)
Ca (0.0000, 0.1976, 0.0000)
Ca (0.0000, 0.4009, 0.0000)
As (0.0000, 0.3145, 0.5000)
As (0.0000, 0.5000, 0.5000)
N (0.0000, 0.0995, 0.0000)

Calculated volume, Å³ per atom: 22.5
E_form (uncorrected), meV per atom: -1003

=====

# 3
Entry from Alexandria via LeMat-Bulk: crystalline CsMgPC2 at its relaxed geometry (PBE).

Cell: 4.0872 4.0872 4.9372 Å, 90.00 90.00 90.00°
Space group P4/mmm (No. 123)
Symmetry-distinct sites (fractional):
Cs (0.0000, 0.0000, 0.0000)
Mg (0.5000, 0.5000, 0.0000)
P (0.5000, 0.5000, 0.5000)
C (0.0000, 0.5000, 0.5000)

Calculated volume, Å³ per atom: 16.5
ΔH_f (0 K), eV/f.u.: 9.173

=====

# 4
Entry from Alexandria via LeMat-Bulk: crystalline CaVP at its relaxed geometry (PBE).

Cell: 3.7067 3.7067 9.0691 Å, 90.00 90.00 90.00°
Space group P4/nmm (No. 129, origin choice 2)
Symmetry-distinct sites (fractional):
Ca (0.2500, 0.2500, 0.1852)
V (0.2500, 0.7500, 0.5000)
P (0.2500, 0.2500, 0.6751)

Calculated volume, Å³ per atom: 20.8
ΔH_f (0 K), eV/f.u.: -2.457

=====

# 5
Entry from Alexandria via LeMat-Bulk: crystalline Ac4PuAu5 at its relaxed geometry (PBE).

Cell: 3.8497 3.8497 19.3417 Å, 90.00 90.00 90.00°
Space group P4/mmm (No. 123)
Symmetry-distinct sites (fractional):
Ac (0.0000, 0.0000, 0.1028)
Ac (0.0000, 0.0000, 0.3086)
Pu (0.0000, 0.0000, 0.5000)
Au (0.5000, 0.5000, 0.0000)
Au (0.5000, 0.5000, 0.2049)
Au (0.5000, 0.5000, 0.4115)

Calculated volume, Å³ per atom: 28.7
ΔH_f (0 K), eV/f.u.: -6.822

=====

# 6
Entry from Alexandria via LeMat-Bulk: crystalline K2TcHgO4 at its relaxed geometry (PBE).

Cell: 7.5504 7.5504 7.0294 Å, 90.00 90.00 90.00°
Space group I-4 (No. 82)
Symmetry-distinct sites (fractional):
K (0.0000, 0.0000, 0.0000)
K (0.0000, 0.5000, 0.2500)
Tc (0.0000, 0.0000, 0.5000)
Hg (0.0000, 0.5000, 0.7500)
O (0.0834, 0.1691, 0.3446)

Calculated volume, Å³ per atom: 25.0
E_form (uncorrected), meV per atom: -1379

=====

# 7
Entry from Alexandria via LeMat-Bulk: crystalline ScSiHg2 at its relaxed geometry (PBE).

Cell: 6.9320 6.9320 6.9320 Å, 90.00 90.00 90.00°
Space group F-43m (No. 216)
Symmetry-distinct sites (fractional):
Sc (0.0000, 0.0000, 0.0000)
Si (0.2500, 0.2500, 0.2500)
Hg (0.0000, 0.0000, 0.5000)
Hg (0.2500, 0.2500, 0.7500)

Calculated volume, Å³ per atom: 20.8
E_form (uncorrected), meV per atom: 57

=====

# 8
Entry from Alexandria via LeMat-Bulk: crystalline PrEr3Tm12 at its relaxed geometry (PBE).

Cell: 4.9558 4.9558 19.8290 Å, 90.00 90.00 90.00°
Space group P4/mmm (No. 123)
Symmetry-distinct sites (fractional):
Pr (0.0000, 0.0000, 0.0000)
Er (0.0000, 0.0000, 0.2514)
Er (0.0000, 0.0000, 0.5000)
Tm (0.0000, 0.5000, 0.1277)
Tm (0.0000, 0.5000, 0.3759)
Tm (0.5000, 0.5000, 0.0000)
Tm (0.5000, 0.5000, 0.2522)
Tm (0.5000, 0.5000, 0.5000)

Calculated volume, Å³ per atom: 30.4
ΔH_f (0 K), eV/f.u.: 0.439

=====

Ordered magnetic moment results: 0.494; 0.000; 0.000; 0.000; 5.629; 1.008; 0.000; 0.001; unit μB/f.u..
Ordered DFT total energy results: -6.216; -4.721; -3.427; -6.329; -5.397; -5.466; -3.033; -4.480; unit eV per atom.